[1]
Here is Al4Hg after structural relaxation from Alexandria via LeMat-Bulk. Energies are from PBE.

Cell: 6.913 6.913 6.913 Å, 146.29 146.29 48.41°
Fractional coordinates of all 5 atoms:
Al 0.750 0.250 0.500
Al 0.250 0.750 0.500
Al 0.604 0.604 0.000
Al 0.396 0.396 0.000
Hg 0.000 0.000 0.000

E above lowest polymorph, meV/atom: 30
Electronic total energy, eV per atom: -2.888
ΔH_f (0 K), eV per atom: 0.17
Size of the total moment, μB per formula unit: 0.000

[2]
Here is AlHg3 after structural relaxation from Alexandria via LeMat-Bulk. Energies are from PBE.

Cell: 5.627 5.627 5.627 Å, 115.32 115.32 115.32°
Fractional coordinates of all 4 atoms:
Hg 0.000 0.500 0.500
Hg 0.500 0.000 0.500
Hg 0.500 0.500 0.000
Al 0.000 0.000 0.000

Electronic total energy, eV per atom: -1.004
ΔH_f (0 K), eV per atom: 0.16
Size of the total moment, μB per formula unit: 0.000

[3]
Here is Al7Hg after structural relaxation from Alexandria via LeMat-Bulk. Energies are from PBE.

Cell: 5.824 5.824 5.824 Å, 60.00 60.00 60.00°
Fractional coordinates of all 8 atoms:
Al 0.500 0.000 0.500
Al 0.000 0.500 0.500
Al 0.000 0.000 0.500
Al 0.000 0.500 0.000
Al 0.500 0.000 0.000
Al 0.500 0.500 0.000
Al 0.500 0.500 0.500
Hg 0.000 0.000 0.000

Electronic total energy, eV per atom: -3.226
ΔH_f (0 K), eV per atom: 0.09
Size of the total moment, μB per formula unit: 0.000